Here is Mn3P2 after structural relaxation from Alexandria via LeMat-Bulk. Energies are from PBEsol.

Cell: 3.6793 3.6793 5.1685 Å, 90.00 90.00 120.00°
Space group P-3m1 (No. 164)
Symmetry-distinct sites (fractional):
1 Mn 0.0000 0.0000 0.0000 (multiplicity 1)
2 Mn 0.3333 0.6667 0.3297 (multiplicity 2)
3 P 0.3333 0.6667 0.7603 (multiplicity 2)

crystal system: trigonal
formation enthalpy at 0 K: -0.386 eV/atom
calculated total energy: -8.56 eV per atom